# 1
Density functional theory data (PBE) for KAlCu after structural relaxation.

Output
Relative energy among the computed polymorphs (eV/atom): 0.086
Formation enthalpy at 0 K (eV/atom): 0.26
D(E_F) (states/eV/atom): 0.464
Spin magnetization (μB per cell): 0.00

```
3
Lattice="4.194 0.000 0.000 -2.097 3.632 0.000 0.000 0.000 5.639" Properties=species:S:1:pos:R:3 pbc="T T T"
K 0.000 0.000 0.000
Al 0.000 2.421 2.820
Cu 2.097 1.211 2.827
```

=====

# 2
Density functional theory data (PBE) for AlC2 after structural relaxation.

Output
Relative energy among the computed polymorphs (eV/atom): 1.137
Formation enthalpy at 0 K (eV/atom): 1.42
D(E_F) (states/eV/atom): 0.312
Spin magnetization (μB per cell): 0.00

```
12
Lattice="4.185 0.000 0.000 -2.092 3.624 0.000 0.000 0.000 9.446" Properties=species:S:1:pos:R:3 pbc="T T T"
Al 0.000 2.416 1.070
Al 0.000 2.416 3.653
Al 2.092 1.208 5.794
Al 2.092 1.208 8.376
C 0.000 0.000 0.000
C 0.000 0.000 4.723
C 0.000 0.830 2.362
C -1.373 3.209 2.362
C 0.719 0.415 7.085
C 1.373 3.209 2.362
C 3.466 0.415 7.085
C 2.092 2.794 7.085
```

=====

# 3
Density functional theory data (PBE) for PrMg2Ag9 after structural relaxation.

Output
Relative energy among the computed polymorphs (eV/atom): 0.026
Formation enthalpy at 0 K (eV/atom): -0.10
D(E_F) (states/eV/atom): 0.540
Spin magnetization (μB per cell): 0.00

```
12
Lattice="2.811 1.623 9.057 -2.811 1.623 9.057 0.000 -3.246 9.057" Properties=species:S:1:pos:R:3 pbc="T T T"
Pr 0.000 0.000 0.000
Mg 0.000 0.000 3.966
Mg 0.000 0.000 23.206
Ag -1.427 -0.824 11.403
Ag 0.000 0.000 9.065
Ag 0.000 -1.648 15.769
Ag -1.427 0.824 15.769
Ag 0.000 0.000 13.586
Ag 1.427 -0.824 11.403
Ag 0.000 1.647 11.403
Ag 0.000 0.000 18.106
Ag 1.427 0.824 15.769
```

=====

# 4
Density functional theory data (PBE) for Ba3TbGa2O8 after structural relaxation.

Output
D(E_F) (states/eV/atom): 1.015
Raw total energy (eV/atom): -6.444
Spin magnetization (μB per cell): 1.07

```
14
Lattice="6.029 0.000 0.000 -3.015 5.222 0.000 0.000 0.000 7.651" Properties=species:S:1:pos:R:3 pbc="T T T"
Ba 0.000 0.000 0.000
Ba 0.000 3.481 5.010
Ba 3.015 1.741 2.641
Tb 0.000 0.000 3.826
Ga 0.000 3.481 1.673
Ga 3.015 1.741 5.979
O 0.000 1.773 2.434
O -1.479 4.335 2.434
O 0.000 3.481 7.506
O 1.535 0.886 5.217
O 1.479 4.335 2.434
O 3.015 1.741 0.146
O 4.494 0.886 5.217
O 3.015 3.449 5.217
```